Record 1
Density functional theory data (PBE) for Ac8P3RuSe4 after structural relaxation.

abc: 8.9759 8.9759 8.9759
angles: 59.22 59.22 59.22
Last column: nearest neighbours and their distance in Å.
Sites, in units of the cell vectors:
1 Ac 0.2447 0.2447 0.2447  3 P 3.09, 3 Se 3.22
2 Ac 0.2510 0.7383 0.7383  1 Ru 3.01, 2 P 3.09, 3 Se 3.23-3.31
3 Ac 0.2617 0.2617 0.7490  1 Ru 3.01, 2 P 3.09, 3 Se 3.23-3.31
4 Ac 0.2617 0.7490 0.2617  1 Ru 3.01, 2 P 3.09, 3 Se 3.23-3.31
5 Ac 0.7383 0.2510 0.7383  1 Ru 3.01, 2 P 3.09, 3 Se 3.23-3.31
6 Ac 0.7383 0.7383 0.2510  1 Ru 3.01, 2 P 3.09, 3 Se 3.23-3.31
7 Ac 0.7490 0.2617 0.2617  1 Ru 3.01, 2 P 3.09, 3 Se 3.23-3.31
8 Ac 0.7553 0.7553 0.7553  3 P 3.09, 3 Se 3.22
9 P 0.0000 0.0000 0.5000  6 Ac 3.09
10 P 0.0000 0.5000 0.0000  6 Ac 3.09
11 P 0.5000 0.0000 0.0000  6 Ac 3.09
12 Ru 0.5000 0.5000 0.5000  6 Ac 3.01
13 Se 0.0000 0.0000 0.0000  6 Ac 3.31
14 Se 0.0000 0.5000 0.5000  6 Ac 3.22-3.23
15 Se 0.5000 0.0000 0.5000  6 Ac 3.22-3.23
16 Se 0.5000 0.5000 0.0000  6 Ac 3.22-3.23

Computed properties:
The total magnetic moment comes out at 0.000 μB/atom. The symmetry is R-3m, No. 166. The value obtained for the formation energy without anion corrections is -2362 kJ/mol of formula units. The calculated volume is 502 Å³ per cell. The calculated density is 7.7 g/cm³.



Record 2
Density functional theory data (PBE) for Y2Nb2Ag after structural relaxation.

abc: 4.9636 4.9636 5.6007
angles: 90.00 90.00 90.00
Last column: nearest neighbours and their distance in Å.
Sites, in units of the cell vectors:
1 Y 0.0000 0.0000 0.0000  4 Nb 2.48
2 Y 0.0000 0.0000 0.5000  2 Y 2.80
3 Nb 0.0000 0.5000 0.0000  2 Y 2.48
4 Nb 0.5000 0.0000 0.0000  2 Y 2.48
5 Ag 0.5000 0.5000 0.5000  4 Y 3.51, 8 Nb 3.74

Computed properties:
For the energy above the most stable polymorph in this dataset, the calculation gives 1371 meV per atom. The total magnetic moment comes out at 0.351 μB/atom. The symmetry is P4/mmm, No. 123. The calculated volume is 138 Å³ per cell. The calculated density is 5.7 g/cm³.



Record 3
Density functional theory data (PBE) for KMgSe after structural relaxation.

abc: 4.2317 4.2317 6.6434
angles: 90.00 90.00 120.00
Last column: nearest neighbours and their distance in Å.
Sites, in units of the cell vectors:
1 K 0.0000 0.0000 0.0000  3 Se 3.36
2 Mg 0.6667 0.3333 0.4996  3 Se 2.64
3 Se 0.3333 0.6667 0.3473  3 Mg 2.64

Computed properties:
For the energy above the most stable polymorph in this dataset, the calculation gives 200 meV per atom. The total magnetic moment comes out at 0.233 μB/atom. The symmetry is P3m1, No. 156. The value obtained for the formation energy without anion corrections is -217 kJ/mol of formula units. The calculated volume is 103 Å³ per cell. The calculated density is 2.3 g/cm³.



Record 4
Density functional theory data (PBE) for Hg3H2Cl after structural relaxation.

abc: 6.3932 7.0478 7.9478
angles: 104.19 108.93 104.93
Last column: nearest neighbours and their distance in Å.
Sites, in units of the cell vectors:
1 Hg 0.0452 0.3861 0.2469  1 Cl 2.58, 1 Hg 2.70
2 Hg 0.2185 0.0371 0.4067  2 H 1.67-1.69
3 Hg 0.3767 0.4711 0.1062  1 H 2.34
4 Hg 0.6233 0.5289 0.8938  1 H 2.34
5 Hg 0.7815 0.9629 0.5933  2 H 1.67-1.69
6 Hg 0.9548 0.6139 0.7531  1 Cl 2.58, 1 Hg 2.70
7 H 0.0777 0.8330 0.2003  1 Hg 1.67
8 H 0.3552 0.2440 0.6147  1 Hg 1.69
9 H 0.6448 0.7560 0.3853  1 Hg 1.69
10 H 0.9223 0.1670 0.7997  1 Hg 1.67
11 Cl 0.3093 0.7404 0.6680  1 Hg 2.58
12 Cl 0.6907 0.2596 0.3320  1 Hg 2.58

Computed properties:
The total magnetic moment comes out at 0.000 μB/atom. The symmetry is P-1, No. 2. The calculated volume is 305 Å³ per cell. The calculated density is 7.0 g/cm³. For the calculated total energy, the calculation gives -1.588 eV per atom.



Record 5
Density functional theory data (PBE) for RbV3Ni after structural relaxation.

abc: 4.8006 4.8006 4.8006
angles: 90.00 90.00 90.00
Last column: nearest neighbours and their distance in Å.
Sites, in units of the cell vectors:
1 Rb 0.0000 0.0000 0.0000  12 V 3.39
2 V 0.0000 0.5000 0.5000  2 Ni 2.40
3 V 0.5000 0.0000 0.5000  2 Ni 2.40
4 V 0.5000 0.5000 0.0000  2 Ni 2.40
5 Ni 0.5000 0.5000 0.5000  6 V 2.40

Computed properties:
For the energy above the most stable polymorph in this dataset, the calculation gives 0 meV per atom. The total magnetic moment comes out at 1.610 μB/atom. The symmetry is Pm-3m, No. 221. The calculated volume is 111 Å³ per cell. The calculated density is 4.5 g/cm³.



Record 6
Density functional theory data (PBE) for Cs2ZrNF6 after structural relaxation.

abc: 6.8561 6.8561 6.8561
angles: 120.24 120.24 89.59
Last column: nearest neighbours and their distance in Å.
Sites, in units of the cell vectors:
1 Cs 0.2500 0.7500 0.5000  12 F 3.44-3.45
2 Cs 0.7500 0.2500 0.5000  12 F 3.44-3.45
3 Zr 0.0000 0.0000 0.0000  6 F 2.04
4 N 0.5000 0.5000 0.0000  6 F 2.79-2.83
5 F 0.2097 0.2097 0.0000  1 Zr 2.04
6 F 0.2111 0.2111 0.4221  1 Zr 2.04
7 F 0.2111 0.7889 0.0000  1 Zr 2.04
8 F 0.7889 0.2111 0.0000  1 Zr 2.04
9 F 0.7889 0.7889 0.5779  1 Zr 2.04
10 F 0.7903 0.7903 0.0000  1 Zr 2.04

Computed properties:
The total magnetic moment comes out at 0.300 μB/atom. The symmetry is I4/mmm, No. 139. The value obtained for the formation energy without anion corrections is -2421 kJ/mol of formula units. The calculated volume is 227 Å³ per cell. The calculated density is 3.5 g/cm³.



Record 7
Density functional theory data (PBE) for UVTc2 after structural relaxation.

abc: 3.0221 3.0221 7.0420
angles: 90.00 90.00 90.00
Last column: nearest neighbours and their distance in Å.
Sites, in units of the cell vectors:
1 U 0.0000 0.0000 0.0000  8 Tc 2.95, 4 U 3.02
2 V 0.0000 0.0000 0.5000  8 Tc 2.60
3 Tc 0.5000 0.5000 0.2886  4 V 2.60
4 Tc 0.5000 0.5000 0.7114  4 V 2.60

Computed properties:
For the energy above the most stable polymorph in this dataset, the calculation gives 18 meV per atom. The total magnetic moment comes out at 0.000 μB/atom. The symmetry is P4/mmm, No. 123. The calculated volume is 64 Å³ per cell. The calculated density is 12.5 g/cm³.



Record 8
Density functional theory data (PBE) for ZrTi2NiH after structural relaxation.

abc: 3.9615 3.9615 4.4156
angles: 90.00 90.00 90.00
Last column: nearest neighbours and their distance in Å.
Sites, in units of the cell vectors:
1 Zr 0.0000 0.0000 0.0000  2 H 2.21
2 Ti 0.0000 0.5000 0.5000  2 H 1.98
3 Ti 0.5000 0.0000 0.5000  2 H 1.98
4 Ni 0.5000 0.5000 0.0000  4 Zr 2.80, 8 Ti 2.97
5 H 0.0000 0.0000 0.5000  4 Ti 1.98, 2 Zr 2.21

Computed properties:
The total magnetic moment comes out at 0.000 μB/atom. The symmetry is P4/mmm, No. 123. The calculated volume is 69 Å³ per cell. The calculated density is 5.9 g/cm³. For the calculated total energy, the calculation gives -6.859 eV per atom.



Record 9
Density functional theory data (PBE) for Sb2TeAu after structural relaxation.

abc: 3.8801 4.6526 5.9938
angles: 90.00 90.00 90.00
Last column: nearest neighbours and their distance in Å.
Sites, in units of the cell vectors:
1 Sb 0.0000 0.0000 0.0000  2 Te 3.00, 4 Au 3.03
2 Sb 0.5000 0.5000 0.5000  2 Au 3.00, 4 Te 3.03
3 Te 0.0000 0.0000 0.5000  6 Sb 3.00-3.03
4 Au 0.5000 0.5000 0.0000  6 Sb 3.00-3.03

Computed properties:
The total magnetic moment comes out at 0.000 μB/atom. The symmetry is Pmmm, No. 47. The value obtained for the formation energy without anion corrections is 15 kJ/mol of formula units. The calculated volume is 108 Å³ per cell. The calculated density is 8.7 g/cm³.



Record 10
Density functional theory data (PBE) for AgBi2W after structural relaxation.

abc: 5.0701 5.0701 5.0701
angles: 60.00 60.00 60.00
Last column: nearest neighbours and their distance in Å.
Sites, in units of the cell vectors:
1 Ag 0.0000 0.0000 0.0000  8 Bi 3.10
2 Bi 0.2500 0.2500 0.2500  4 W 3.10, 4 Ag 3.10
3 Bi 0.7500 0.7500 0.7500  4 W 3.10, 4 Ag 3.10
4 W 0.5000 0.5000 0.5000  8 Bi 3.10

Computed properties:
For the energy above the most stable polymorph in this dataset, the calculation gives 0 meV per atom. The total magnetic moment comes out at 0.451 μB/atom. The symmetry is Fm-3m, No. 225. The calculated volume is 92 Å³ per cell. The calculated density is 12.8 g/cm³.



Record 11
Density functional theory data (PBE) for FeP2RhS after structural relaxation.

abc: 4.4505 4.4505 4.8159
angles: 90.00 90.00 90.00
Last column: nearest neighbours and their distance in Å.
Sites, in units of the cell vectors:
1 Fe 0.0000 0.0000 0.0000  4 S 3.15, 8 P 3.28
2 P 0.0000 0.5000 0.5000  2 Rh 2.23
3 P 0.5000 0.0000 0.5000  2 Rh 2.23
4 Rh 0.5000 0.5000 0.5000  4 P 2.23, 2 S 2.41
5 S 0.5000 0.5000 0.0000  2 Rh 2.41

Computed properties:
For the energy above the most stable polymorph in this dataset, the calculation gives 546 meV per atom. The total magnetic moment comes out at 0.014 μB/atom. The symmetry is P4/mmm, No. 123. The value obtained for the formation energy without anion corrections is 548 kJ/mol of formula units. The calculated volume is 95 Å³ per cell. The calculated density is 4.4 g/cm³.



Record 12
Density functional theory data (PBE) for BRu after structural relaxation.

abc: 4.3908 4.3908 4.3686
angles: 90.00 90.00 90.00
Last column: nearest neighbours and their distance in Å.
Sites, in units of the cell vectors:
1 B 0.2412 0.2412 0.0000  6 Ru 2.18-2.21
2 B 0.2588 0.7412 0.5000  6 Ru 2.18-2.21
3 B 0.7412 0.2588 0.5000  6 Ru 2.18-2.21
4 B 0.7588 0.7588 0.0000  6 Ru 2.18-2.21
5 Ru 0.2379 0.2379 0.5000  6 B 2.18-2.21
6 Ru 0.2621 0.7379 0.0000  6 B 2.18-2.21
7 Ru 0.7379 0.2621 0.0000  6 B 2.18-2.21
8 Ru 0.7621 0.7621 0.5000  6 B 2.18-2.21

Computed properties:
The total magnetic moment comes out at 0.000 μB/atom. The symmetry is P4_2/mnm, No. 136. The calculated volume is 84 Å³ per cell. The calculated density is 8.8 g/cm³. For the calculated total energy, the calculation gives -7.866 eV per atom.



The lowest calculated density belongs to which entry?
KMgSe



Among the records above, which one has the lowest calculated density?
KMgSe



What is the calculated volume in the third record?
103 Å³ per cell